Entry 1:
Here is a geometry-optimized V4IrC structure from the Alexandria database. Energies are from GGA-PBE.

Properties
DFT formation energy = 0.13 eV/atom

a = 7.467 Å, b = 8.286 Å, c = 2.826 Å
α = 90.00°, β = 90.00°, γ = 90.00°
Atoms (fractional coordinates):
V (0.000, 0.245, 0.000)
V (0.000, 0.755, 0.000)
V (0.181, 0.000, 0.500)
V (0.319, 0.500, 0.500)
V (0.500, 0.255, 0.000)
V (0.500, 0.745, 0.000)
V (0.681, 0.500, 0.500)
V (0.819, 0.000, 0.500)
Ir (0.000, 0.500, 0.500)
Ir (0.500, 0.000, 0.500)
C (0.000, 0.000, 0.000)
C (0.500, 0.500, 0.000)

***

Entry 2:
Here is a geometry-optimized GaCu2Sn structure from the Alexandria database. Energies are from GGA-PBE.

Properties
DFT formation energy = 0.24 eV/atom

a = 7.094 Å, b = 7.094 Å, c = 5.815 Å
α = 90.00°, β = 90.00°, γ = 90.00°
Atoms (fractional coordinates):
Ga (0.000, 0.000, 0.000)
Ga (0.000, 0.500, 0.250)
Ga (0.500, 0.000, 0.750)
Ga (0.500, 0.500, 0.500)
Cu (0.225, 0.250, 0.125)
Cu (0.250, 0.725, 0.375)
Cu (0.250, 0.775, 0.875)
Cu (0.275, 0.250, 0.625)
Cu (0.725, 0.750, 0.625)
Cu (0.750, 0.225, 0.875)
Cu (0.750, 0.275, 0.375)
Cu (0.775, 0.750, 0.125)
Sn (0.000, 0.000, 0.500)
Sn (0.000, 0.500, 0.750)
Sn (0.500, 0.000, 0.250)
Sn (0.500, 0.500, 0.000)

***

Entry 3:
Here is a geometry-optimized CrAgPd2 structure from the Alexandria database. Energies are from GGA-PBE.

Properties
DFT formation energy = 0.07 eV/atom

a = 2.856 Å, b = 2.856 Å, c = 26.679 Å
α = 90.00°, β = 90.00°, γ = 120.00°
Atoms (fractional coordinates):
Cr (0.000, 0.000, 0.000)
Cr (0.333, 0.667, 0.667)
Cr (0.667, 0.333, 0.333)
Ag (0.000, 0.000, 0.833)
Ag (0.333, 0.667, 0.500)
Ag (0.667, 0.333, 0.167)
Pd (0.000, 0.000, 0.410)
Pd (0.000, 0.000, 0.590)
Pd (0.333, 0.667, 0.076)
Pd (0.333, 0.667, 0.257)
Pd (0.667, 0.333, 0.743)
Pd (0.667, 0.333, 0.924)

***

Entry 4:
Here is a geometry-optimized AgSe2F structure from the Alexandria database. Energies are from GGA-PBE.

Properties
ΔE_f (raw) = -1.19 eV per formula unit

a = 3.683 Å, b = 3.683 Å, c = 23.217 Å
α = 90.00°, β = 90.00°, γ = 90.00°
Atoms (fractional coordinates):
Ag (0.000, 0.000, 0.000)
Ag (0.000, 0.500, 0.250)
Ag (0.500, 0.000, 0.750)
Ag (0.500, 0.500, 0.500)
Se (0.249, 0.250, 0.125)
Se (0.250, 0.749, 0.375)
Se (0.250, 0.751, 0.875)
Se (0.251, 0.250, 0.625)
Se (0.749, 0.750, 0.625)
Se (0.750, 0.249, 0.875)
Se (0.750, 0.251, 0.375)
Se (0.751, 0.750, 0.125)
F (0.000, 0.000, 0.500)
F (0.000, 0.500, 0.750)
F (0.500, 0.000, 0.250)
F (0.500, 0.500, 0.000)

***

Entry 5:
Here is a geometry-optimized ZnAu3Se structure from the Alexandria database. Energies are from GGA-PBE.

Properties
ΔE_f (raw) = 2.55 eV per formula unit

a = 5.074 Å, b = 5.074 Å, c = 5.074 Å
α = 90.00°, β = 90.00°, γ = 90.00°
Atoms (fractional coordinates):
Zn (0.000, 0.000, 0.000)
Au (0.000, 0.500, 0.500)
Au (0.500, 0.000, 0.500)
Au (0.500, 0.500, 0.000)
Se (0.500, 0.500, 0.500)

***

Entry 6:
Here is a geometry-optimized La8Nd4Tm structure from the Alexandria database. Energies are from GGA-PBE.

Properties
DFT formation energy = 0.36 eV/atom

a = 7.956 Å, b = 7.956 Å, c = 7.956 Å
α = 96.90°, β = 96.90°, γ = 96.90°
Atoms (fractional coordinates):
La (0.171, 0.171, 0.671)
La (0.171, 0.671, 0.171)
La (0.237, 0.237, 0.237)
La (0.329, 0.829, 0.829)
La (0.671, 0.171, 0.171)
La (0.763, 0.763, 0.763)
La (0.829, 0.329, 0.829)
La (0.829, 0.829, 0.329)
Nd (0.000, 0.000, 0.000)
Nd (0.000, 0.500, 0.500)
Nd (0.500, 0.000, 0.500)
Nd (0.500, 0.500, 0.000)
Tm (0.500, 0.500, 0.500)

***

Entry 7:
Here is a geometry-optimized KZrTeN2 structure from the Alexandria database. Energies are from GGA-PBE.

Properties
ΔE_f (raw) = 9.79 eV per formula unit

a = 4.585 Å, b = 4.585 Å, c = 6.156 Å
α = 90.00°, β = 90.00°, γ = 90.00°
Atoms (fractional coordinates):
K (0.000, 0.000, 0.000)
Zr (0.500, 0.500, 0.500)
Te (0.000, 0.000, 0.500)
N (0.000, 0.500, 0.000)
N (0.500, 0.000, 0.000)

***

Entry 8:
Here is a geometry-optimized In6Sn2Hg5 structure from the Alexandria database. Energies are from GGA-PBE.

Properties
DFT formation energy = 0.04 eV/atom

a = 4.798 Å, b = 12.176 Å, c = 12.658 Å
α = 90.00°, β = 90.13°, γ = 90.00°
Atoms (fractional coordinates):
In (0.002, 0.012, 0.339)
In (0.002, 0.488, 0.839)
In (0.005, 0.123, 0.966)
In (0.005, 0.377, 0.466)
In (0.494, 0.699, 0.144)
In (0.494, 0.801, 0.644)
In (0.506, 0.199, 0.356)
In (0.506, 0.301, 0.856)
In (0.995, 0.623, 0.534)
In (0.995, 0.877, 0.034)
In (0.998, 0.512, 0.161)
In (0.998, 0.988, 0.661)
Sn (0.006, 0.232, 0.724)
Sn (0.006, 0.268, 0.224)
Sn (0.994, 0.732, 0.776)
Sn (0.994, 0.768, 0.276)
Hg (0.495, 0.735, 0.416)
Hg (0.495, 0.765, 0.916)
Hg (0.498, 0.515, 0.668)
Hg (0.498, 0.985, 0.168)
Hg (0.500, 0.000, 0.500)
Hg (0.500, 0.500, 0.000)
Hg (0.502, 0.015, 0.832)
Hg (0.502, 0.485, 0.332)
Hg (0.505, 0.235, 0.084)
Hg (0.505, 0.265, 0.584)

***

Entry 9:
Here is a geometry-optimized Ac5Zn3Pt12 structure from the Alexandria database. Energies are from GGA-PBE.

Properties
DFT formation energy = -0.30 eV/atom

a = 13.897 Å, b = 13.897 Å, c = 13.897 Å
α = 109.47°, β = 109.47°, γ = 109.47°
Atoms (fractional coordinates):
Ac (0.000, 0.000, 0.000)
Ac (0.000, 0.000, 0.500)
Ac (0.000, 0.500, 0.000)
Ac (0.000, 0.500, 0.500)
Ac (0.125, 0.750, 0.875)
Ac (0.125, 0.875, 0.250)
Ac (0.250, 0.125, 0.875)
Ac (0.250, 0.625, 0.375)
Ac (0.375, 0.250, 0.625)
Ac (0.375, 0.625, 0.750)
Ac (0.500, 0.000, 0.000)
Ac (0.500, 0.000, 0.500)
Ac (0.500, 0.500, 0.000)
Ac (0.500, 0.500, 0.500)
Ac (0.625, 0.375, 0.250)
Ac (0.625, 0.750, 0.375)
Ac (0.750, 0.375, 0.625)
Ac (0.750, 0.875, 0.125)
Ac (0.875, 0.125, 0.750)
Ac (0.875, 0.250, 0.125)
Zn (0.125, 0.250, 0.375)
Zn (0.125, 0.375, 0.750)
Zn (0.250, 0.375, 0.125)
Zn (0.250, 0.875, 0.625)
Zn (0.375, 0.125, 0.250)
Zn (0.375, 0.750, 0.125)
Zn (0.625, 0.250, 0.875)
Zn (0.625, 0.875, 0.750)
Zn (0.750, 0.125, 0.375)
Zn (0.750, 0.625, 0.875)
Zn (0.875, 0.625, 0.250)
Zn (0.875, 0.750, 0.625)
Pt (0.049, 0.635, 0.383)
Pt (0.049, 0.914, 0.666)
Pt (0.086, 0.252, 0.135)
Pt (0.086, 0.334, 0.951)
Pt (0.117, 0.752, 0.666)
Pt (0.117, 0.865, 0.451)
Pt (0.135, 0.086, 0.252)
Pt (0.135, 0.549, 0.883)
Pt (0.166, 0.252, 0.617)
Pt (0.166, 0.414, 0.549)
Pt (0.248, 0.334, 0.883)
Pt (0.248, 0.414, 0.365)
Pt (0.252, 0.135, 0.086)
Pt (0.252, 0.617, 0.166)
Pt (0.334, 0.883, 0.248)
Pt (0.334, 0.951, 0.086)
Pt (0.365, 0.248, 0.414)
Pt (0.365, 0.617, 0.951)
Pt (0.383, 0.049, 0.635)
Pt (0.383, 0.834, 0.748)
Pt (0.414, 0.365, 0.248)
Pt (0.414, 0.549, 0.166)
Pt (0.451, 0.117, 0.865)
Pt (0.451, 0.834, 0.586)
Pt (0.549, 0.166, 0.414)
Pt (0.549, 0.883, 0.135)
Pt (0.586, 0.451, 0.834)
Pt (0.586, 0.635, 0.752)
Pt (0.617, 0.166, 0.252)
Pt (0.617, 0.951, 0.365)
Pt (0.635, 0.383, 0.049)
Pt (0.635, 0.752, 0.586)
Pt (0.666, 0.049, 0.914)
Pt (0.666, 0.117, 0.752)
Pt (0.748, 0.383, 0.834)
Pt (0.748, 0.865, 0.914)
Pt (0.752, 0.586, 0.635)
Pt (0.752, 0.666, 0.117)
Pt (0.834, 0.586, 0.451)
Pt (0.834, 0.748, 0.383)
Pt (0.865, 0.451, 0.117)
Pt (0.865, 0.914, 0.748)
Pt (0.883, 0.135, 0.549)
Pt (0.883, 0.248, 0.334)
Pt (0.914, 0.666, 0.049)
Pt (0.914, 0.748, 0.865)
Pt (0.951, 0.086, 0.334)
Pt (0.951, 0.365, 0.617)

***

Entry 10:
Here is a geometry-optimized BeSiHg structure from the Alexandria database. Energies are from GGA-PBE.

Properties
ΔE_f (raw) = 1.67 eV per formula unit

a = 2.814 Å, b = 2.814 Å, c = 12.783 Å
α = 90.00°, β = 90.00°, γ = 90.00°
Atoms (fractional coordinates):
Be (0.000, 0.000, 0.000)
Be (0.500, 0.500, 0.500)
Si (0.000, 0.000, 0.385)
Si (0.500, 0.500, 0.885)
Hg (0.000, 0.000, 0.658)
Hg (0.500, 0.500, 0.158)

***

Entry 11:
Here is a geometry-optimized NaRu structure from the Alexandria database. Energies are from GGA-PBE.

Properties
DFT formation energy = 1.96 eV/atom

a = 5.487 Å, b = 5.487 Å, c = 5.487 Å
α = 90.00°, β = 90.00°, γ = 90.00°
Atoms (fractional coordinates):
Na (0.000, 0.000, 0.000)
Na (0.000, 0.500, 0.500)
Na (0.500, 0.000, 0.500)
Na (0.500, 0.500, 0.000)
Ru (0.000, 0.000, 0.500)
Ru (0.000, 0.500, 0.000)
Ru (0.500, 0.000, 0.000)
Ru (0.500, 0.500, 0.500)

***

Entry 12:
Here is a geometry-optimized Ti3VSi structure from the Alexandria database. Energies are from GGA-PBE.

Properties
ΔE_f (raw) = 2.65 eV per formula unit

a = 4.614 Å, b = 4.614 Å, c = 4.614 Å
α = 90.00°, β = 90.00°, γ = 90.00°
Atoms (fractional coordinates):
Ti (0.000, 0.000, 0.500)
Ti (0.000, 0.500, 0.000)
Ti (0.500, 0.000, 0.000)
V (0.500, 0.500, 0.500)
Si (0.000, 0.000, 0.000)

***

Entry 13:
Here is a geometry-optimized CsRe2Os structure from the Alexandria database. Energies are from GGA-PBE.

Properties
DFT formation energy = 2.11 eV/atom

a = 7.516 Å, b = 7.516 Å, c = 6.596 Å
α = 90.00°, β = 90.00°, γ = 90.00°
Atoms (fractional coordinates):
Cs (0.000, 0.000, 0.000)
Cs (0.000, 0.500, 0.250)
Cs (0.500, 0.000, 0.750)
Cs (0.500, 0.500, 0.500)
Re (0.175, 0.750, 0.625)
Re (0.250, 0.175, 0.375)
Re (0.250, 0.325, 0.875)
Re (0.325, 0.750, 0.125)
Re (0.675, 0.250, 0.125)
Re (0.750, 0.675, 0.875)
Re (0.750, 0.825, 0.375)
Re (0.825, 0.250, 0.625)
Os (0.000, 0.000, 0.500)
Os (0.000, 0.500, 0.750)
Os (0.500, 0.000, 0.250)
Os (0.500, 0.500, 0.000)

***

Entry 14:
Here is a geometry-optimized LiCr2 structure from the Alexandria database. Energies are from GGA-PBE.

Properties
DFT formation energy = 0.64 eV/atom

a = 4.883 Å, b = 4.883 Å, c = 7.583 Å
α = 90.00°, β = 90.00°, γ = 120.00°
Atoms (fractional coordinates):
Li (0.333, 0.667, 0.066)
Li (0.333, 0.667, 0.434)
Li (0.667, 0.333, 0.566)
Li (0.667, 0.333, 0.934)
Cr (0.000, 0.000, 0.000)
Cr (0.000, 0.000, 0.500)
Cr (0.169, 0.338, 0.750)
Cr (0.169, 0.831, 0.750)
Cr (0.338, 0.169, 0.250)
Cr (0.662, 0.831, 0.750)
Cr (0.831, 0.169, 0.250)
Cr (0.831, 0.662, 0.250)

***

Entry 15:
Here is a geometry-optimized Ba2AsBr structure from the Alexandria database. Energies are from GGA-PBE.

Properties
ΔE_f (raw) = -5.61 eV per formula unit

a = 5.227 Å, b = 4.394 Å, c = 12.543 Å
α = 90.00°, β = 90.00°, γ = 90.00°
Atoms (fractional coordinates):
Ba (0.000, 0.000, 0.000)
Ba (0.000, 0.500, 0.500)
Ba (0.500, 0.000, 0.244)
Ba (0.500, 0.500, 0.744)
As (0.500, 0.000, 0.506)
As (0.500, 0.500, 0.006)
Br (0.000, 0.000, 0.743)
Br (0.000, 0.500, 0.243)

***

Entry 16:
Here is a geometry-optimized TlNi2Br structure from the Alexandria database. Energies are from GGA-PBE.

Properties
ΔE_f (raw) = 1.90 eV per formula unit

a = 3.263 Å, b = 3.989 Å, c = 5.838 Å
α = 90.00°, β = 90.00°, γ = 90.00°
Atoms (fractional coordinates):
Tl (0.000, 0.000, 0.000)
Ni (0.000, 0.500, 0.500)
Ni (0.500, 0.500, 0.000)
Br (0.500, 0.000, 0.500)

***

Entry 17:
Here is a geometry-optimized NaAcCuSn structure from the Alexandria database. Energies are from GGA-PBE.

Properties
DFT formation energy = -0.16 eV/atom

a = 7.656 Å, b = 7.656 Å, c = 7.656 Å
α = 90.00°, β = 90.00°, γ = 90.00°
Atoms (fractional coordinates):
Na (0.000, 0.000, 0.000)
Na (0.000, 0.500, 0.500)
Na (0.500, 0.000, 0.500)
Na (0.500, 0.500, 0.000)
Ac (0.000, 0.000, 0.500)
Ac (0.000, 0.500, 0.000)
Ac (0.500, 0.000, 0.000)
Ac (0.500, 0.500, 0.500)
Cu (0.250, 0.250, 0.250)
Cu (0.250, 0.750, 0.750)
Cu (0.750, 0.250, 0.750)
Cu (0.750, 0.750, 0.250)
Sn (0.250, 0.250, 0.750)
Sn (0.250, 0.750, 0.250)
Sn (0.750, 0.250, 0.250)
Sn (0.750, 0.750, 0.750)

***

Entry 18:
Here is a geometry-optimized ZnOsW2 structure from the Alexandria database. Energies are from GGA-PBE.

Properties
DFT formation energy = 0.23 eV/atom

a = 2.792 Å, b = 2.792 Å, c = 27.464 Å
α = 90.00°, β = 90.00°, γ = 120.00°
Atoms (fractional coordinates):
Zn (0.000, 0.000, 0.000)
Zn (0.333, 0.667, 0.667)
Zn (0.667, 0.333, 0.333)
Os (0.000, 0.000, 0.748)
Os (0.333, 0.667, 0.415)
Os (0.667, 0.333, 0.082)
W (0.000, 0.000, 0.249)
W (0.000, 0.000, 0.494)
W (0.333, 0.667, 0.160)
W (0.333, 0.667, 0.916)
W (0.667, 0.333, 0.583)
W (0.667, 0.333, 0.827)

***

Entry 19:
Here is a geometry-optimized LiAc2MgAg6 structure from the Alexandria database. Energies are from GGA-PBE.

Properties
DFT formation energy = -0.05 eV/atom

a = 7.027 Å, b = 7.027 Å, c = 7.027 Å
α = 120.05°, β = 119.80°, γ = 90.14°
Atoms (fractional coordinates):
Li (0.000, 0.000, 0.000)
Ac (0.250, 0.750, 0.500)
Ac (0.750, 0.250, 0.500)
Mg (0.500, 0.500, 0.000)
Ag (0.237, 0.237, 0.000)
Ag (0.237, 0.237, 0.474)
Ag (0.237, 0.763, 0.000)
Ag (0.763, 0.237, 0.000)
Ag (0.763, 0.763, 0.000)
Ag (0.763, 0.763, 0.526)

***

Entry 20:
Here is a geometry-optimized Ag2GeBr2 structure from the Alexandria database. Energies are from GGA-PBE.

Properties
ΔE_f (raw) = 1.01 eV per formula unit

a = 8.299 Å, b = 8.299 Å, c = 3.492 Å
α = 90.00°, β = 90.00°, γ = 90.00°
Atoms (fractional coordinates):
Ag (0.124, 0.376, 0.000)
Ag (0.376, 0.876, 0.000)
Ag (0.624, 0.124, 0.000)
Ag (0.876, 0.624, 0.000)
Ge (0.000, 0.000, 0.500)
Ge (0.500, 0.500, 0.500)
Br (0.178, 0.678, 0.500)
Br (0.322, 0.178, 0.500)
Br (0.678, 0.822, 0.500)
Br (0.822, 0.322, 0.500)